# PBE Pm3Se2O, relaxed
# Magnetic moment ... 0.00 μB/atom
# Energy relative to the elements, uncorrected ... -1.909 eV per atom
# Energy ... -6.272 eV/atom
data_Pm3Se2O
_cell_length_a 14.0002
_cell_length_b 8.1442
_cell_length_c 5.7293
_cell_angle_alpha 90.00
_cell_angle_beta 90.00
_cell_angle_gamma 90.00
_symmetry_space_group_name_H-M 'C m c m'
_symmetry_Int_Tables_number 63
_symmetry_space_group_name_Hall '-C 2c 2'
loop_
_atom_site_label
_atom_site_type_symbol
_atom_site_fract_x
_atom_site_fract_y
_atom_site_fract_z
Pm1 Pm 0.0000 0.1192 0.2500
Pm2 Pm 0.1512 0.2749 0.7500
Se1 Se 0.1547 0.3592 0.2500
O1 O 0.0000 0.1626 0.7500